[1]
VASP calculation (PBE) on a geometry-optimized CaWN2 structure.

- formation energy from raw total energies (meV/atom) = -589
- density of states at the Fermi level (states/eV per cell) = 5.19
- excess energy over the best structure of this formula in the dataset (meV/atom) = 150
- volume (A^3/atom) = 15.71
- total magnetization (μB/cell) = 0.0
- DFT total energy (eV per formula unit) = -33.96
- crystal system = tetragonal

Cell: 4.966 4.966 6.189 Å, 66.35 66.35 90.00°
Atoms (fractional coordinates):
W (0.750, 0.250, 0.500)
W (0.000, 0.000, 0.000)
N (0.875, 0.964, 0.750)
N (0.714, 0.125, 0.250)
N (0.036, 0.625, 0.250)
N (0.375, 0.286, 0.750)
Ca (0.500, 0.500, 0.000)
Ca (0.250, 0.750, 0.500)

=====

[2]
VASP calculation (PBE) on a geometry-optimized CuBPt3 structure.

- formation enthalpy at 0 K (meV per atom) = -186.7
- density of states at the Fermi level (states/eV per cell) = 8.35
- excess energy over the best structure of this formula in the dataset (meV/atom) = 33
- volume (A^3/atom) = 13.65
- total magnetization (μB/cell) = 0.0
- DFT total energy (eV per formula unit) = -29.83
- crystal system = monoclinic

Cell: 5.572 5.572 10.159 Å, 81.71 81.71 61.40°
Atoms (fractional coordinates):
Pt (0.099, 0.220, 0.665)
Pt (0.243, 0.888, 0.913)
Pt (0.392, 0.244, 0.389)
Pt (0.757, 0.112, 0.087)
Pt (0.780, 0.901, 0.835)
Pt (0.244, 0.392, 0.889)
Pt (0.888, 0.243, 0.413)
Pt (0.901, 0.780, 0.335)
Pt (0.220, 0.099, 0.165)
Pt (0.112, 0.757, 0.587)
Pt (0.756, 0.608, 0.111)
Pt (0.608, 0.756, 0.611)
Cu (0.566, 0.269, 0.639)
Cu (0.434, 0.731, 0.361)
Cu (0.269, 0.566, 0.139)
Cu (0.731, 0.434, 0.861)
B (0.343, 0.657, 0.750)
B (0.657, 0.343, 0.250)
B (0.500, 0.000, 0.000)
B (0.000, 0.500, 0.500)